[1]
DFT (GGA-PBEsol) results for a relaxed structure of KP2Rh.

Computed properties:
- Calculated volume: 19.4 Å³/atom
- DOS(E_F): 4.756 states/eV per cell

abc: 3.074 5.558 9.096
angles: 90.00 90.00 90.00
Positions (direct):
K (0.000, 0.000, 0.000)
K (0.500, 0.500, 0.500)
P (0.000, 0.000, 0.516)
P (0.000, 0.500, 0.187)
P (0.500, 0.000, 0.687)
P (0.500, 0.500, 0.016)
Rh (0.000, 0.500, 0.829)
Rh (0.500, 0.000, 0.329)

***

[2]
DFT (GGA-PBEsol) results for a relaxed structure of KP2Ru.

Computed properties:
- Calculated volume: 16.0 Å³/atom
- DOS(E_F): 10.913 states/eV per cell

abc: 6.355 6.355 6.355
angles: 90.00 90.00 90.00
Positions (direct):
K (0.000, 0.000, 0.000)
K (0.000, 0.500, 0.500)
K (0.500, 0.000, 0.500)
K (0.500, 0.500, 0.000)
P (0.000, 0.000, 0.500)
P (0.000, 0.500, 0.000)
P (0.250, 0.250, 0.250)
P (0.250, 0.750, 0.750)
P (0.500, 0.000, 0.000)
P (0.500, 0.500, 0.500)
P (0.750, 0.250, 0.750)
P (0.750, 0.750, 0.250)
Ru (0.250, 0.250, 0.750)
Ru (0.250, 0.750, 0.250)
Ru (0.750, 0.250, 0.250)
Ru (0.750, 0.750, 0.750)

***

Number 1: energy relative to the lowest polymorph listed for this composition 636 meV per atom, E_form 19.12 kJ/mol of atoms. Number 2: energy relative to the lowest polymorph listed for this composition 1167 meV per atom, E_form 93.68 kJ/mol of atoms.